Material: LiUInCl6
Method: DFT, PBE
State: relaxed

It has space group P-31c (No. 163), with a = 6.8157 Å, b = 6.8157 Å, c = 14.1100 Å, α = 90.00°, β = 90.00° and γ = 120.00°. Symmetry generates all atoms from Li at (0.3333, 0.6667, 0.2500), U at (0.3333, 0.6667, 0.7500), In at (0.0000, 0.0000, 0.0000) and Cl at (0.0002, 0.3681, 0.1435).

Its theoretical density is 3.35 g/cm3. The value obtained for the formation energy (no corrections) is -1561 meV per atom. Its density of states at the Fermi level is 0.587 states/eV per atom. The calculation puts the total DFT energy (no corrections) at -82.13 eV/cell.


Material: Li2YInCl6
Method: DFT, PBE
State: relaxed

It has space group R3 (No. 146, hexagonal axes), with a = 6.9234 Å, b = 6.9234 Å, c = 18.9488 Å, α = 90.00°, β = 90.00° and γ = 120.00°. Symmetry generates all atoms from Li at (0.0000, 0.0000, 0.0000), Li at (0.0000, 0.0000, 0.4895), Y at (0.0000, 0.0000, 0.6941), In at (0.0000, 0.0000, 0.2151), Cl at (0.0105, 0.3422, 0.0938) and Cl at (0.0102, 0.5837, 0.2684).

Its theoretical density is 2.73 g/cm3. The value obtained for the formation energy (no corrections) is -1776 meV per atom. Its density of states at the Fermi level is 0.000 states/eV per atom. The calculation puts the total DFT energy (no corrections) at -125.62 eV/cell.


Material: LiZn2InCl6
Method: DFT, PBE
State: relaxed

It has space group C2/c (No. 15), with a = 13.225 Å, b = 13.395 Å, c = 7.224 Å, α = 90.00°, β = 110.12° and γ = 90.00°. Symmetry generates all atoms from Li at (0.000, 0.217, 0.250), Zn at (0.193, 0.424, 0.686), In at (0.000, 0.120, 0.750), Cl at (0.113, 0.277, 0.560), Cl at (0.123, 0.086, 0.201) and Cl at (0.140, 0.446, 0.964).

Its theoretical density is 2.57 g/cm3. The value obtained for the formation energy (no corrections) is -1194 meV per atom. Its density of states at the Fermi level is 0.000 states/eV per atom. The calculation puts the total DFT energy (no corrections) at -120.90 eV/cell.